1.
The following is a DFT calculation (GGA-PBE) of CsZr2P2N6 after structural relaxation.

Values from the calculation:
calculated volume	15.599	Å³/atom
ρ	4.5	Mg/m³
energy relative to the elements, uncorrected	-724	meV per atom
calculated total energy	-7.88	eV/atom

Unit cell a=10.9895 b=5.9859 c=6.2174 alpha=90.00 beta=122.96 gamma=90.00
Space group C2/m (No. 12)
Unique sites:
Cs1 0.0000 0.0000 0.0000
Zr1 0.1877 0.5000 0.3071
P1 0.1176 0.5000 0.6888
N1 0.0694 0.5000 0.8895
N2 0.1838 0.2852 0.6288

2.
The following is a DFT calculation (GGA-PBE) of Hg2OsSe after structural relaxation.

Values from the calculation:
calculated volume	21.648	Å³/atom
ρ	12.9	Mg/m³
energy relative to the elements, uncorrected	583	meV per atom
calculated total energy	-3.25	eV/atom

Unit cell a=2.9662 b=4.1888 c=13.9382 alpha=90.00 beta=90.00 gamma=90.00
Space group Immm (No. 71)
Unique sites:
Hg1 0.0000 0.0000 0.1850
Os1 0.0000 0.5000 0.5000
Se1 0.0000 0.5000 0.0000

3.
The following is a DFT calculation (GGA-PBE) of PmTm3Th4Se8 after structural relaxation.

Values from the calculation:
calculated volume	24.968	Å³/atom
ρ	9.2	Mg/m³
energy relative to the elements, uncorrected	-1621	meV per atom
calculated total energy	-6.35	eV/atom

Unit cell a=8.0475 b=8.0475 c=21.3689 alpha=90.00 beta=90.00 gamma=120.00
Space group R-3m (No. 166, hexagonal axes)
Unique sites:
Pm1 0.0000 0.0000 0.0000
Tm1 0.0000 0.5000 0.0000
Th1 0.0000 0.0000 0.5000
Th2 0.0000 0.5000 0.5000
Se1 0.0000 0.0000 0.2571
Se2 0.0075 0.5037 0.2555